Compound: BeFeReSi
Source: OQMD
Functional: PBE
Structure: optimized geometry

Cell: 4.0052 4.0052 4.0052 Å, 60.00 60.00 60.00°
With the nearest neighbours (Å) after each atom.
Sites, in units of the cell vectors:
Be1 0.5000 0.5000 0.5000  4 Re 2.45, 4 Fe 2.45
Si1 0.0000 0.0000 0.0000  4 Re 2.45, 4 Fe 2.45
Fe1 0.7500 0.7500 0.7500  4 Be 2.45, 4 Si 2.45
Re1 0.2500 0.2500 0.2500  4 Be 2.45, 4 Si 2.45

Values from the calculation:
Size of the total moment in μB/f.u.: 1.71
Space group: No. 216
Final energy in eV per atom: -7.6031